[1]
Density functional theory data (PBE) for an optimized crystal structure of Hf2CrPb.

Cell and atoms, written as POSCAR:
```
Hf2CrPb
1.0
4.143 0.000 0.000
0.000 4.143 0.000
0.000 0.000 20.297
Hf Cr Pb
8 4 4
Cartesian
1.004 1.036 2.537
1.036 3.075 7.611
1.036 3.139 17.760
1.068 1.036 12.686
3.075 3.107 12.686
3.107 1.004 17.760
3.107 1.068 7.611
3.139 3.107 2.537
0.000 0.000 0.000
0.000 2.071 5.074
2.071 0.000 15.223
2.071 2.071 10.149
0.000 0.000 10.149
0.000 2.071 15.223
2.071 0.000 5.074
2.071 2.071 0.000
```

- formation enthalpy at 0 K (eV per atom) = 0.8784
- space-group type = No. 122
- total DFT energy (no corrections) (eV per atom) = -7.43

***

[2]
Density functional theory data (PBE) for an optimized crystal structure of SrMn3Hg.

Cell and atoms, written as POSCAR:
```
SrMn3Hg
1.0
5.723 0.000 0.000
0.000 5.723 0.000
0.000 0.000 5.723
Sr Mn Hg
1 3 1
Cartesian
0.000 0.000 0.000
0.000 0.000 2.862
0.000 2.862 0.000
2.862 0.000 0.000
2.862 2.862 2.862
```

- energy above the most stable polymorph in this dataset (meV/atom) = 1046
- formation enthalpy at 0 K (eV per atom) = 1.8455
- space-group type = No. 221
- total DFT energy (no corrections) (eV per atom) = -4.05

***

[3]
Density functional theory data (PBE) for an optimized crystal structure of LaGdInGe.

Cell and atoms, written as POSCAR:
```
LaGdInGe
1.0
7.574 0.000 0.000
0.000 7.574 0.000
0.000 0.000 7.574
La Gd In Ge
4 4 4 4
Cartesian
0.000 0.000 0.000
0.000 3.787 3.787
3.787 0.000 3.787
3.787 3.787 0.000
0.000 0.000 3.787
0.000 3.787 0.000
3.787 0.000 0.000
3.787 3.787 3.787
1.893 1.893 5.680
1.893 5.680 1.893
5.680 1.893 1.893
5.680 5.680 5.680
1.893 1.893 1.893
1.893 5.680 5.680
5.680 1.893 5.680
5.680 5.680 1.893
```

- formation enthalpy at 0 K (eV per atom) = -0.5230
- space-group type = No. 216
- total DFT energy (no corrections) (eV per atom) = -7.11

***

[4]
Density functional theory data (PBE) for an optimized crystal structure of K2CrIn.

Cell and atoms, written as POSCAR:
```
K2CrIn
1.0
4.786 0.000 0.000
0.000 4.786 0.000
0.000 0.000 5.854
K Cr In
2 1 1
Cartesian
0.000 2.393 0.000
2.393 0.000 0.000
0.000 0.000 2.927
2.393 2.393 2.927
```

- formation enthalpy at 0 K (eV per atom) = 0.6097
- space-group type = No. 123
- total DFT energy (no corrections) (eV per atom) = -3.03

***

Which of these has the lowest total DFT energy (no corrections)?
Hf2CrPb

***

Please write out number 3 again, unchanged.
Density functional theory data (PBE) for an optimized crystal structure of LaGdInGe.

Cell and atoms, written as POSCAR:
```
LaGdInGe
1.0
7.574 0.000 0.000
0.000 7.574 0.000
0.000 0.000 7.574
La Gd In Ge
4 4 4 4
Cartesian
0.000 0.000 0.000
0.000 3.787 3.787
3.787 0.000 3.787
3.787 3.787 0.000
0.000 0.000 3.787
0.000 3.787 0.000
3.787 0.000 0.000
3.787 3.787 3.787
1.893 1.893 5.680
1.893 5.680 1.893
5.680 1.893 1.893
5.680 5.680 5.680
1.893 1.893 1.893
1.893 5.680 5.680
5.680 1.893 5.680
5.680 5.680 1.893
```

- formation enthalpy at 0 K (eV per atom) = -0.5230
- space-group type = No. 216
- total DFT energy (no corrections) (eV per atom) = -7.11

***

Which of these has the highest total DFT energy (no corrections)?
K2CrIn

***

Which value of formation enthalpy at 0 K does entry 2 give?
1.8455 eV per atom